Material: Y2CrCu
Method: DFT, PBE
State: optimized geometry

Output
Energy relative to the elements, eV/atom: 0.0921
SG: Pmmm (47)

The structure in POSCAR format:
```
Y2CrCu
1.0
3.508 0.000 0.000
0.000 3.544 0.000
0.000 0.000 7.072
Y Cr Cu
2 1 1
Cartesian
0.000 0.000 1.732
0.000 0.000 5.340
1.754 1.772 3.536
1.754 1.772 0.000
```

Material: Na2PmCu2O4
Method: DFT, PBE
State: optimized geometry

Output
ΔE_f (raw), eV per formula unit: -14.11
SG: C2/m (12)

The structure in POSCAR format:
```
Na2PmCu2O4
1.0
5.748 -1.766 0.000
5.748 1.766 0.000
-5.121 0.000 6.399
Na Pm Cu O
2 1 2 4
Cartesian
0.568 0.000 1.788
5.808 0.000 4.611
-2.560 0.000 3.200
3.906 0.000 0.620
2.470 0.000 5.780
-1.446 0.000 5.221
1.796 0.000 4.014
4.580 0.000 2.385
7.821 0.000 1.178
```

Material: DyTmAu4
Method: DFT, PBE
State: optimized geometry

Output
Energy relative to the elements, eV/atom: -0.8754
Energy above the most stable polymorph in this dataset, eV per atom: 0.000
SG: P4/mmm (123)

The structure in POSCAR format:
```
DyTmAu4
1.0
3.726 0.000 0.000
0.000 3.726 0.000
0.000 0.000 9.047
Dy Tm Au
1 1 4
Cartesian
0.000 0.000 0.000
1.863 1.863 4.523
0.000 0.000 3.052
0.000 0.000 5.995
1.863 1.863 1.508
1.863 1.863 7.539
```

Material: K15Hg
Method: DFT, PBE
State: optimized geometry

Output
Energy relative to the elements, eV/atom: -0.0047
SG: P-6m2 (187)

The structure in POSCAR format:
```
K15Hg
1.0
9.154 0.000 0.000
-4.577 7.927 0.000
0.000 0.000 14.779
K Hg
15 1
Cartesian
0.000 0.000 0.000
-2.238 3.993 7.390
2.200 1.270 3.953
2.200 1.270 10.826
0.000 5.285 3.574
0.000 5.285 11.205
2.238 3.993 7.390
0.000 7.869 7.390
4.577 0.056 0.000
2.337 3.936 0.000
6.953 1.270 3.953
6.953 1.270 10.826
4.577 5.386 3.953
4.577 5.386 10.826
6.817 3.936 0.000
0.000 0.000 7.390
```

Computed E_tot, in the same sequence as the records: -6.570; -5.503; -4.573; -1.052 eV/atom.